AgBiPdPb: optimized geometry, PBE.

Output
D(E_F): 0.3192 states/eV/atom
SG: No. 216
Total magnetization: 0.00 Bohr magnetons per cell
E_tot: -15.85 eV/cell

a = 5.058 Å, b = 5.058 Å, c = 5.058 Å
α = 60.00°, β = 60.00°, γ = 60.00°
Positions (direct):
Pb  0.250  0.250  0.250
Ag  0.000  0.000  0.000
Pd  0.500  0.500  0.500
Bi  0.750  0.750  0.750